# 1
Entry from Alexandria via LeMat-Bulk: a geometry-optimized TmLuInPb structure (PBE).

Cell lengths 7.5391, 7.5391, 7.5391 Å; angles 90.00, 90.00, 90.00 degrees
Closest atoms and distances in Å follow each position.
Space group F-43m (No. 216)
Unique sites:
Tm1 0.0000 0.0000 0.0000 [4 per cell]  4 In 3.26, 4 Pb 3.26
Lu1 0.0000 0.0000 0.5000 [4 per cell]  4 In 3.26, 4 Pb 3.26
In1 0.2500 0.2500 0.7500 [4 per cell]  4 Tm 3.26, 4 Lu 3.26
Pb1 0.2500 0.2500 0.2500 [4 per cell]  4 Tm 3.26, 4 Lu 3.26

Values from the calculation:
DOS at the Fermi energy (states/eV/cell): 16.56
Total energy (eV per formula unit): -16.77
Energy of formation (eV/atom): -0.333

=====

# 2
Entry from Alexandria via LeMat-Bulk: a geometry-optimized YLuInPb structure (PBE).

Cell lengths 7.5798, 7.5798, 7.5798 Å; angles 90.00, 90.00, 90.00 degrees
Closest atoms and distances in Å follow each position.
Space group F-43m (No. 216)
Unique sites:
Y1 0.0000 0.0000 0.0000 [4 per cell]  4 Pb 3.28, 4 In 3.28
Lu1 0.0000 0.0000 0.5000 [4 per cell]  4 In 3.28, 4 Pb 3.28
In1 0.2500 0.2500 0.2500 [4 per cell]  4 Y 3.28, 4 Lu 3.28
Pb1 0.2500 0.2500 0.7500 [4 per cell]  4 Y 3.28, 4 Lu 3.28

Values from the calculation:
DOS at the Fermi energy (states/eV/cell): 17.58
Total energy (eV per formula unit): -18.91
Energy of formation (eV/atom): -0.369

=====

# 3
Entry from Alexandria via LeMat-Bulk: a geometry-optimized LuIn2Pd structure (PBE).

Cell lengths 13.6942, 13.6942, 9.1811 Å; angles 90.00, 90.00, 90.00 degrees
Closest atoms and distances in Å follow each position.
Space group I4mm (No. 107)
Unique sites:
Lu1 0.0000 0.0000 0.0000 [2 per cell]  4 Pd 2.91
Lu2 0.0000 0.0000 0.4754 [2 per cell]  4 Pd 3.18, 8 In 3.24-3.30
Lu3 0.0000 0.2790 0.4055 [8 per cell]  2 Pd 3.01, 6 In 3.11-3.25
Lu4 0.2016 0.2016 0.8907 [8 per cell]  4 Pd 3.00-3.28, 6 In 3.16-3.21
In1 0.0000 0.1627 0.7310 [8 per cell]  3 Pd 2.80-2.87
In2 0.0000 0.3830 0.8783 [8 per cell]  3 Pd 2.76-2.80, 2 In 3.02
In3 0.1285 0.1285 0.2390 [8 per cell]  3 Pd 2.81-2.87, 2 Lu 3.11
In4 0.1423 0.3487 0.1414 [16 per cell]  3 Pd 2.84-2.88, 3 In 3.02-3.15, 1 Lu 3.16
Pd1 0.0000 0.2112 0.0354 [8 per cell]  6 In 2.76-2.88, 3 Lu 2.91-3.07
Pd2 0.0000 0.5000 0.1278 [4 per cell]  8 In 2.80-2.85
Pd3 0.1612 0.1612 0.5434 [8 per cell]  5 In 2.80-2.87, 3 Lu 3.00-3.01

Values from the calculation:
DOS at the Fermi energy (states/eV/cell): 35.93
Total energy (eV per formula unit): -17.68
Energy of formation (eV/atom): -0.623

=====

# 4
Entry from Alexandria via LeMat-Bulk: a geometry-optimized Lu2InPd structure (PBE).

Cell lengths 3.4508, 3.4508, 7.6599 Å; angles 90.00, 90.00, 90.00 degrees
Closest atoms and distances in Å follow each position.
Space group P4/mmm (No. 123)
Unique sites:
Lu1 0.0000 0.0000 0.2214 [2 per cell]  4 Pd 2.97, 4 In 3.24
In1 0.5000 0.5000 0.5000 [1 per cell]  8 Lu 3.24, 4 In 3.45
Pd1 0.5000 0.5000 0.0000 [1 per cell]  8 Lu 2.97

Values from the calculation:
DOS at the Fermi energy (states/eV/cell): 2.57
Energy above the lowest structure with this stoichiometry (meV per atom): 0
Total energy (eV per formula unit): -19.79
Energy of formation (eV/atom): -0.704

=====

Look up the total energy of the fourth one.
-19.79 eV per formula unit